The following is a PBE+U calculation of an optimized crystal structure of Rb2VO2F4, from Alexandria via LeMat-Bulk.

a b c (Å): 6.391 6.391 8.407
angles (deg): 90.00 90.00 88.48
Fractional positions:
Rb: 0.243 0.243 0.000
Rb: 0.243 0.243 0.500
Rb: 0.757 0.757 0.000
Rb: 0.757 0.757 0.500
V: 0.267 0.733 0.750
V: 0.733 0.267 0.250
O: 0.044 0.956 0.750
O: 0.455 0.545 0.750
O: 0.545 0.455 0.250
O: 0.956 0.044 0.250
F: 0.049 0.536 0.750
F: 0.233 0.767 0.531
F: 0.233 0.767 0.969
F: 0.464 0.951 0.750
F: 0.536 0.049 0.250
F: 0.767 0.233 0.031
F: 0.767 0.233 0.469
F: 0.951 0.464 0.250

**Total DFT energy (no corrections)**: -5.20 eV per atom
**Space-group type**: Cmcm, No. 63